No. 1
La2TbAs3Rh12: relaxed, PBE.

a b c (Å): 6.8532 6.8532 6.8532
angles (deg): 83.58 83.58 83.58
With the nearest neighbours (Å) after each atom.
Element x y z (fractional)
La: 0.6354 0.6354 0.6354  3 Rh 2.58
La: 0.3646 0.3646 0.3646  3 Rh 2.58
Tb: 0.0000 0.0000 0.0000  6 Rh 2.71
As: 0.5000 0.0000 0.0000  6 Rh 2.39-2.65
As: 0.0000 0.5000 0.0000  6 Rh 2.39-2.65
As: 0.0000 0.0000 0.5000  6 Rh 2.39-2.65
Rh: 0.3741 0.3741 0.9021  2 As 2.65, 1 Rh 2.66
Rh: 0.8137 0.8137 0.3269  1 As 2.39, 1 La 2.58, 1 Rh 2.66
Rh: 0.3269 0.8137 0.8137  1 As 2.39, 1 La 2.58, 1 Rh 2.66
Rh: 0.9021 0.3741 0.3741  2 As 2.65, 1 Rh 2.66
Rh: 0.8137 0.3269 0.8137  1 As 2.39, 1 La 2.58, 1 Rh 2.66
Rh: 0.3741 0.9021 0.3741  2 As 2.65, 1 Rh 2.66
Rh: 0.6259 0.6259 0.0979  2 As 2.65, 1 Rh 2.66
Rh: 0.1863 0.1863 0.6731  1 As 2.39, 1 La 2.58, 1 Rh 2.66
Rh: 0.6731 0.1863 0.1863  1 As 2.39, 1 La 2.58, 1 Rh 2.66
Rh: 0.0979 0.6259 0.6259  2 As 2.65, 1 Rh 2.66
Rh: 0.1863 0.6731 0.1863  1 As 2.39, 1 La 2.58, 1 Rh 2.66
Rh: 0.6259 0.0979 0.6259  2 As 2.65, 1 Rh 2.66

Values from the calculation:
**Theoretical density**: 9.96 Mg/m³
**ΔH_f (0 K)**: -5.75 eV per formula unit
**Space-group type**: No. 166
**Electronic total energy**: -6.800 eV per atom


No. 2
Os2SeCl: relaxed, PBE.

a b c (Å): 3.0575 3.0575 8.3703
angles (deg): 90.00 90.00 123.40
With the nearest neighbours (Å) after each atom.
Element x y z (fractional)
Cl: 0.5000 0.5000 0.7500  4 Os 2.64, 2 Cl 2.90
Os: 0.0000 0.0000 0.0132  2 Se 2.46, 2 Cl 2.64
Os: 0.0000 0.0000 0.4868  2 Se 2.46, 2 Cl 2.64
Se: 0.5000 0.5000 0.2500  4 Os 2.46

Values from the calculation:
**Theoretical density**: 12.58 Mg/m³
**ΔE_f (raw)**: 1.13 eV/atom
**Energy relative to the lowest polymorph listed for this composition**: 909 meV per atom
**Space-group type**: No. 65
**Electronic total energy**: -5.815 eV per atom